## one
Density functional theory data (PBE-GGA) for an optimized crystal structure of KGa3Au2.

```
6
Lattice="-0.626 3.597 4.806 -1.999 -5.691 0.209 3.753 -1.266 1.436" Properties=species:S:1:pos:R:3 pbc="T T T"
K 1.876 -0.633 0.718
Ga -0.313 1.799 2.403
Ga -1.313 -1.047 2.507
Ga -1.000 -2.845 0.105
Au 0.793 -0.132 3.992
Au 0.334 -3.227 2.459
```

V	22.15	A^3/atom
space group	P6/mmm

***

## two
Density functional theory data (PBE-GGA) for an optimized crystal structure of KGa3Au2.

```
18
Lattice="4.516 0.000 0.000 -2.258 8.205 -2.458 0.000 0.307 10.650" Properties=species:S:1:pos:R:3 pbc="T T T"
K 0.000 2.880 6.771
K 2.258 5.632 1.421
K 0.000 0.000 0.000
Ga 0.000 0.746 3.725
Ga 2.258 7.766 4.467
Ga 0.000 3.513 3.017
Ga 2.258 4.999 5.175
Ga 2.258 2.115 1.479
Ga 0.000 6.397 6.713
Ga 2.258 0.154 5.325
Ga 0.000 5.466 -1.241
Ga 2.258 3.046 9.433
Au 0.000 3.260 0.299
Au 2.258 5.252 7.893
Au 0.000 7.814 0.020
Au 2.258 0.699 8.171
Au 0.000 5.920 4.069
Au 2.258 2.593 4.122
```

V	22.11	A^3/atom
space group	C2/m

***

Structures ranked by computed energy, the most stable listed first: two, one.